A relaxed structure of Cs2ReRh. Source: Alexandria, functional PBE-GGA.

formation energy from the elements: 1.259 eV/atom
crystal system: tetragonal
excess energy over the best structure of this formula in the dataset: 0.0 kJ per mole of atoms
SG: No. 122
electronic total energy: -4.1175 eV per atom

a = 9.6997 Å, b = 9.6997 Å, c = 9.6997 Å
α = 93.38°, β = 93.38°, γ = 151.89°
With the nearest neighbours (Å) after each atom.
Element x y z (fractional)
Cs (0.6250, 0.3018, 0.1768)  2 Rh 3.52, 2 Re 3.89
Cs (0.1250, 0.4482, 0.8232)  2 Rh 3.52, 2 Re 3.89
Cs (0.6982, 0.8750, 0.3232)  2 Rh 3.52, 2 Re 3.89
Cs (0.5518, 0.3750, 0.6768)  2 Rh 3.52, 2 Re 3.89
Re (0.0000, 0.0000, 0.0000)  2 Rh 2.36
Re (0.2500, 0.7500, 0.5000)  2 Rh 2.36
Rh (0.5000, 0.5000, 0.0000)  2 Re 2.36
Rh (0.7500, 0.2500, 0.5000)  2 Re 2.36

---

A relaxed structure of AcH4Pd2. Source: Alexandria, functional PBE-GGA.

crystal system: tetragonal
excess energy over the best structure of this formula in the dataset: 0.0 kJ per mole of atoms
SG: No. 87
electronic total energy: -4.3269 eV per atom

a = 5.2922 Å, b = 4.9623 Å, c = 4.9623 Å
α = 73.48°, β = 57.78°, γ = 57.78°
With the nearest neighbours (Å) after each atom.
Element x y z (fractional)
Ac (0.5000, 0.0000, 0.0000)  16 H 3.16-3.22, 8 Pd 3.25
H (0.7081, 0.2907, 0.2930)  2 Pd 1.81
H (0.9988, 0.2930, 0.7093)  2 Pd 1.81
H (0.0012, 0.7070, 0.2907)  2 Pd 1.81
H (0.2919, 0.7093, 0.7070)  2 Pd 1.81
Pd (0.2500, 0.5000, 0.5000)  4 H 1.81
Pd (0.7500, 0.5000, 0.5000)  4 H 1.81

---

A relaxed structure of Y8Te2C3. Source: Alexandria, functional PBE-GGA.

E_form (uncorrected): -7.30 eV per formula unit
crystal system: monoclinic
excess energy over the best structure of this formula in the dataset: 0.0 kJ per mole of atoms
SG: No. 12
electronic total energy: -7.1513 eV per atom

a = 6.4254 Å, b = 7.5690 Å, c = 8.2604 Å
α = 117.27°, β = 106.13°, γ = 90.00°
With the nearest neighbours (Å) after each atom.
Element x y z (fractional)
Y (0.7770, 0.4029, 0.8059)  2 C 2.50
Y (0.2230, 0.5971, 0.1941)  2 C 2.50
Y (0.7605, 0.9050, 0.8100)  3 C 2.49-2.59
Y (0.2395, 0.0950, 0.1900)  3 C 2.49-2.59
Y (0.7379, 0.3307, 0.1871)  2 C 2.48-2.49
Y (0.7379, 0.8564, 0.1871)  2 C 2.48-2.49
Y (0.2621, 0.1436, 0.8129)  2 C 2.48-2.49
Y (0.2621, 0.6693, 0.8129)  2 C 2.48-2.49
Te (0.9838, 0.7483, 0.4965)  6 Y 3.04-3.07
Te (0.0162, 0.2517, 0.5035)  6 Y 3.04-3.07
C (0.5000, 0.0000, 0.0000)  6 Y 2.48-2.49
C (0.0000, 0.7453, 0.0000)  6 Y 2.49-2.59
C (0.0000, 0.2547, 0.0000)  6 Y 2.49-2.59

---

A relaxed structure of CdCuC3. Source: Alexandria, functional PBE-GGA.

formation energy from the elements: 3.517 eV/atom
crystal system: cubic
excess energy over the best structure of this formula in the dataset: 88.2 kJ per mole of atoms
SG: No. 221
electronic total energy: -3.0191 eV per atom

a = 4.2660 Å, b = 4.2660 Å, c = 4.2660 Å
α = 90.00°, β = 90.00°, γ = 90.00°
With the nearest neighbours (Å) after each atom.
Element x y z (fractional)
C (0.0000, 0.5000, 0.0000)  2 Cd 2.13
C (0.0000, 0.0000, 0.5000)  2 Cd 2.13
C (0.5000, 0.0000, 0.0000)  2 Cd 2.13
Cu (0.5000, 0.5000, 0.5000)  12 C 3.02
Cd (0.0000, 0.0000, 0.0000)  6 C 2.13

---

A relaxed structure of Mn2Se. Source: Alexandria, functional PBE-GGA.

E_form (uncorrected): 1.04 eV per formula unit
crystal system: trigonal
SG: No. 164
electronic total energy: -6.9284 eV per atom

a = 4.1607 Å, b = 4.1601 Å, c = 3.4552 Å
α = 90.00°, β = 90.00°, γ = 120.00°
With the nearest neighbours (Å) after each atom.
Element x y z (fractional)
Mn (0.6667, 0.3333, 0.2510)  3 Se 2.55
Mn (0.3333, 0.6667, 0.7490)  3 Se 2.55
Se (0.0000, 0.0000, 0.0000)  6 Mn 2.55

---

A relaxed structure of NaPa3Se8. Source: Alexandria, functional PBE-GGA.

E_form (uncorrected): -15.30 eV per formula unit
crystal system: hexagonal
SG: No. 186
electronic total energy: -6.0821 eV per atom

a = 8.4379 Å, b = 8.4379 Å, c = 13.0060 Å
α = 90.00°, β = 90.00°, γ = 120.00°
With the nearest neighbours (Å) after each atom.
Element x y z (fractional)
Na (0.6667, 0.3333, 0.9861)  6 Se 3.05-3.09
Na (0.3333, 0.6667, 0.4861)  6 Se 3.05-3.09
Pa (0.8331, 0.6662, 0.7162)  6 Se 2.75-2.87
Pa (0.3338, 0.1669, 0.7162)  6 Se 2.75-2.87
Pa (0.8331, 0.1669, 0.7162)  6 Se 2.75-2.87
Pa (0.1669, 0.8331, 0.2162)  6 Se 2.75-2.87
Pa (0.6662, 0.8331, 0.2162)  6 Se 2.75-2.87
Pa (0.1669, 0.3338, 0.2162)  6 Se 2.75-2.87
Se (0.8469, 0.6938, 0.1051)  2 Pa 2.75, 1 Na 3.05
Se (0.5105, 0.4895, 0.8254)  2 Pa 2.75
Se (0.6667, 0.3333, 0.5995)  3 Pa 2.87
Se (0.0000, 0.0000, 0.8316)  3 Pa 2.86
Se (0.0000, 0.0000, 0.3316)  3 Pa 2.86
Se (0.3062, 0.1531, 0.1051)  2 Pa 2.75, 1 Na 3.05
Se (0.9790, 0.4895, 0.8254)  2 Pa 2.75
Se (0.5105, 0.0210, 0.8254)  2 Pa 2.75
Se (0.1531, 0.8469, 0.6051)  2 Pa 2.75, 1 Na 3.05
Se (0.8469, 0.1531, 0.1051)  2 Pa 2.75, 1 Na 3.05
Se (0.4895, 0.9790, 0.3254)  2 Pa 2.75
Se (0.0210, 0.5105, 0.3254)  2 Pa 2.75
Se (0.3333, 0.6667, 0.0995)  3 Pa 2.87
Se (0.6938, 0.8469, 0.6051)  2 Pa 2.75, 1 Na 3.05
Se (0.4895, 0.5105, 0.3254)  2 Pa 2.75
Se (0.1531, 0.3062, 0.6051)  2 Pa 2.75, 1 Na 3.05

---

A relaxed structure of TlVGeBr6. Source: Alexandria, functional PBE-GGA.

E_form (uncorrected): -6.82 eV per formula unit
crystal system: trigonal
SG: No. 149
electronic total energy: -3.6627 eV per atom

a = 7.0026 Å, b = 7.0025 Å, c = 7.1967 Å
α = 90.00°, β = 90.00°, γ = 59.99°
With the nearest neighbours (Å) after each atom.
Element x y z (fractional)
Tl (0.0000, 0.0000, 0.0000)  6 Br 3.34
V (0.3333, 0.3333, 0.5000)  6 Br 2.56
Ge (0.6666, 0.6667, 0.5000)  6 Br 2.79
Br (0.0241, 0.3572, 0.2928)  1 V 2.56, 1 Ge 2.79
Br (0.3572, 0.0241, 0.7072)  1 V 2.56, 1 Ge 2.79
Br (0.6186, 0.3572, 0.7072)  1 V 2.56, 1 Ge 2.79
Br (0.0241, 0.6187, 0.7071)  1 V 2.56, 1 Ge 2.79
Br (0.3572, 0.6187, 0.2928)  1 V 2.56, 1 Ge 2.79
Br (0.6187, 0.0241, 0.2929)  1 V 2.56, 1 Ge 2.79

---

A relaxed structure of In3Ga12Au5. Source: Alexandria, functional PBE-GGA.

formation energy from the elements: 0.033 eV/atom
crystal system: cubic
SG: No. 230
electronic total energy: -3.0130 eV per atom

a = 13.5426 Å, b = 13.5426 Å, c = 13.5426 Å
α = 109.47°, β = 109.47°, γ = 109.47°
With the nearest neighbours (Å) after each atom.
Element x y z (fractional)
In (0.7500, 0.3750, 0.1250)  8 Ga 2.79-3.03
In (0.8750, 0.7500, 0.1250)  8 Ga 2.79-3.03
In (0.3750, 0.7500, 0.6250)  8 Ga 2.79-3.03
In (0.2500, 0.1250, 0.3750)  8 Ga 2.79-3.03
In (0.8750, 0.1250, 0.2500)  8 Ga 2.79-3.03
In (0.3750, 0.6250, 0.2500)  8 Ga 2.79-3.03
In (0.6250, 0.3750, 0.7500)  8 Ga 2.79-3.03
In (0.1250, 0.8750, 0.7500)  8 Ga 2.79-3.03
In (0.7500, 0.8750, 0.6250)  8 Ga 2.79-3.03
In (0.6250, 0.2500, 0.3750)  8 Ga 2.79-3.03
In (0.1250, 0.2500, 0.8750)  8 Ga 2.79-3.03
In (0.2500, 0.6250, 0.8750)  8 Ga 2.79-3.03
Au (0.1250, 0.3750, 0.2500)  4 Ga 2.54
Au (0.0000, 0.5000, 0.0000)  6 Ga 2.62
Au (0.0000, 0.0000, 0.0000)  6 Ga 2.62
Au (0.3750, 0.2500, 0.1250)  4 Ga 2.54
Au (0.5000, 0.0000, 0.5000)  6 Ga 2.62
Au (0.5000, 0.5000, 0.0000)  6 Ga 2.62
Au (0.1250, 0.7500, 0.3750)  4 Ga 2.54
Au (0.7500, 0.1250, 0.8750)  4 Ga 2.54
Au (0.7500, 0.6250, 0.3750)  4 Ga 2.54
Au (0.3750, 0.1250, 0.7500)  4 Ga 2.54
Au (0.6250, 0.8750, 0.2500)  4 Ga 2.54
Au (0.5000, 0.5000, 0.5000)  6 Ga 2.62
Au (0.5000, 0.0000, 0.0000)  6 Ga 2.62
Au (0.0000, 0.0000, 0.5000)  6 Ga 2.62
Au (0.2500, 0.3750, 0.6250)  4 Ga 2.54
Au (0.2500, 0.8750, 0.1250)  4 Ga 2.54
Au (0.0000, 0.5000, 0.5000)  6 Ga 2.62
Au (0.8750, 0.2500, 0.6250)  4 Ga 2.54
Au (0.6250, 0.7500, 0.8750)  4 Ga 2.54
Au (0.8750, 0.6250, 0.7500)  4 Ga 2.54
Ga (0.7230, 0.1265, 0.0522)  2 Au 2.54-2.62, 1 In 2.79
Ga (0.3292, 0.5522, 0.4258)  2 Au 2.54-2.62, 1 In 2.79
Ga (0.9478, 0.3735, 0.2770)  2 Au 2.54-2.62, 1 In 2.79
Ga (0.5522, 0.2230, 0.1265)  2 Au 2.54-2.62, 1 In 2.79
Ga (0.5966, 0.7230, 0.6708)  2 Au 2.54-2.62, 1 In 2.79
Ga (0.9478, 0.5742, 0.1708)  2 Au 2.54-2.62, 1 In 2.79
Ga (0.3292, 0.7770, 0.4034)  2 Au 2.54-2.62, 1 In 2.79
Ga (0.0742, 0.9034, 0.1265)  2 Au 2.54-2.62, 1 In 2.79
Ga (0.5742, 0.9478, 0.6708)  2 Au 2.54-2.62, 1 In 2.79
Ga (0.7230, 0.5966, 0.1708)  2 Au 2.54-2.62, 1 In 2.79
Ga (0.7770, 0.4478, 0.3735)  2 Au 2.54-2.62, 1 In 2.79
Ga (0.8292, 0.9258, 0.0522)  2 Au 2.54-2.62, 1 In 2.79
Ga (0.1265, 0.7230, 0.5522)  2 Au 2.54-2.62, 1 In 2.79
Ga (0.3735, 0.4258, 0.0966)  2 Au 2.54-2.62, 1 In 2.79
Ga (0.0966, 0.9258, 0.3735)  2 Au 2.54-2.62, 1 In 2.79
Ga (0.4034, 0.1265, 0.5742)  2 Au 2.54-2.62, 1 In 2.79
Ga (0.0966, 0.1708, 0.2230)  2 Au 2.54-2.62, 1 In 2.79
Ga (0.4478, 0.6708, 0.0742)  2 Au 2.54-2.62, 1 In 2.79
Ga (0.8292, 0.9034, 0.2770)  2 Au 2.54-2.62, 1 In 2.79
Ga (0.1265, 0.4034, 0.0742)  2 Au 2.54-2.62, 1 In 2.79
Ga (0.3735, 0.9478, 0.7770)  2 Au 2.54-2.62, 1 In 2.79
Ga (0.5742, 0.6265, 0.4034)  2 Au 2.54-2.62, 1 In 2.79
Ga (0.9258, 0.8292, 0.5522)  2 Au 2.54-2.62, 1 In 2.79
Ga (0.7770, 0.3292, 0.9034)  2 Au 2.54-2.62, 1 In 2.79
Ga (0.4258, 0.3735, 0.5966)  2 Au 2.54-2.62, 1 In 2.79
Ga (0.0742, 0.1708, 0.4478)  2 Au 2.54-2.62, 1 In 2.79
Ga (0.2230, 0.6708, 0.0966)  2 Au 2.54-2.62, 1 In 2.79
Ga (0.1708, 0.0966, 0.7230)  2 Au 2.54-2.62, 1 In 2.79
Ga (0.6265, 0.0522, 0.2230)  2 Au 2.54-2.62, 1 In 2.79
Ga (0.8735, 0.5966, 0.9258)  2 Au 2.54-2.62, 1 In 2.79
Ga (0.5522, 0.3292, 0.9258)  2 Au 2.54-2.62, 1 In 2.79
Ga (0.5966, 0.8735, 0.4258)  2 Au 2.54-2.62, 1 In 2.79
Ga (0.9034, 0.8292, 0.7770)  2 Au 2.54-2.62, 1 In 2.79
Ga (0.9034, 0.0742, 0.6265)  2 Au 2.54-2.62, 1 In 2.79
Ga (0.8735, 0.2770, 0.4478)  2 Au 2.54-2.62, 1 In 2.79
Ga (0.1708, 0.0742, 0.9478)  2 Au 2.54-2.62, 1 In 2.79
Ga (0.6265, 0.5742, 0.9034)  2 Au 2.54-2.62, 1 In 2.79
Ga (0.4258, 0.0522, 0.3292)  2 Au 2.54-2.62, 1 In 2.79
Ga (0.2770, 0.4034, 0.8292)  2 Au 2.54-2.62, 1 In 2.79
Ga (0.2230, 0.5522, 0.6265)  2 Au 2.54-2.62, 1 In 2.79
Ga (0.9258, 0.0966, 0.8735)  2 Au 2.54-2.62, 1 In 2.79
Ga (0.6708, 0.2230, 0.5966)  2 Au 2.54-2.62, 1 In 2.79
Ga (0.4478, 0.7770, 0.8735)  2 Au 2.54-2.62, 1 In 2.79
Ga (0.0522, 0.4258, 0.8292)  2 Au 2.54-2.62, 1 In 2.79
Ga (0.4034, 0.2770, 0.3292)  2 Au 2.54-2.62, 1 In 2.79
Ga (0.0522, 0.6265, 0.7230)  2 Au 2.54-2.62, 1 In 2.79
Ga (0.6708, 0.4478, 0.5742)  2 Au 2.54-2.62, 1 In 2.79
Ga (0.2770, 0.8735, 0.9478)  2 Au 2.54-2.62, 1 In 2.79

---

Sequential theoretical density output: 4.42, 7.90, 4.91, 4.53, 6.05, 5.58, 4.39, 7.52 g cm⁻³